1.
Density functional theory data (GGA-PBE) for LiCd6In3 after structural relaxation.

POSCAR file:
```
LiCd6In3
1.0
5.098 0.000 0.000
0.000 8.171 -2.838
0.000 -0.378 11.425
Li Cd In
2 12 6
direct
0.750 0.607 0.563
0.250 0.393 0.437
0.750 0.599 0.071
0.250 0.401 0.929
0.750 0.982 0.164
0.250 0.018 0.836
0.750 0.001 0.663
0.250 0.999 0.337
0.750 0.218 0.467
0.250 0.782 0.533
0.750 0.394 0.289
0.250 0.606 0.711
0.750 0.811 0.847
0.250 0.189 0.153
0.750 0.800 0.373
0.250 0.200 0.627
0.750 0.424 0.768
0.250 0.576 0.232
0.750 0.207 0.988
0.250 0.793 0.012
```

Properties
Energy relative to the elements   -0.0306 eV per atom
Fermi-level density of states   6.02 states/eV/cell
Electronic total energy   -1.59 eV per atom
Crystal system   monoclinic

=====

2.
Density functional theory data (GGA-PBE) for Sm4RhAu after structural relaxation.

POSCAR file:
```
Sm4RhAu
1.0
-0.904 1.993 4.401
-5.294 -6.279 1.756
12.044 -8.400 6.277
Sm Rh Au
16 4 4
direct
0.750 0.870 0.664
0.250 0.130 0.336
0.250 0.630 0.164
0.750 0.370 0.836
0.750 0.848 0.432
0.250 0.152 0.568
0.250 0.652 0.932
0.750 0.348 0.068
0.750 0.963 0.923
0.250 0.037 0.077
0.250 0.537 0.423
0.750 0.463 0.577
0.750 0.922 0.220
0.250 0.078 0.780
0.250 0.578 0.720
0.750 0.422 0.280
0.750 0.694 0.812
0.250 0.306 0.188
0.250 0.806 0.312
0.750 0.194 0.688
0.750 0.223 0.438
0.250 0.777 0.562
0.250 0.277 0.938
0.750 0.723 0.062
```

Properties
Energy relative to the elements   -0.5344 eV per atom
Fermi-level density of states   25.89 states/eV/cell
Electronic total energy   -5.45 eV per atom
Crystal system   orthorhombic
Relative energy among the computed polymorphs   0.0000 eV/atom

=====

3.
Density functional theory data (GGA-PBE) for NbAg2Os after structural relaxation.

POSCAR file:
```
NbAg2Os
1.0
-3.326 1.754 2.579
-1.531 4.218 -0.812
-4.163 0.616 -1.756
Nb Os Ag
1 1 2
direct
0.000 0.000 0.000
0.500 0.500 0.500
0.250 0.250 0.250
0.750 0.750 0.750
```

Properties
Energy relative to the elements   0.7745 eV per atom
Fermi-level density of states   3.51 states/eV/cell
Electronic total energy   -5.98 eV per atom
Crystal system   cubic
Relative energy among the computed polymorphs   0.0000 eV/atom

=====

What is the energy relative to the elements in the second record? -0.5344 eV per atom